A plane-wave DFT calculation with PBE-GGA was carried out for a relaxed structure of TbGa2Tc2P.

Cell lengths 4.4423, 4.4423, 5.5637 Å; angles 90.00, 90.00, 90.00 degrees
With the nearest neighbours (Å) after each atom.
Space group P4/mmm (No. 123)
Symmetry-distinct sites (fractional):
Tb (0.0000, 0.0000, 0.0000) x1  2 P 2.78
Ga (0.5000, 0.5000, 0.2260) x2  1 Ga 2.52, 4 Tc 2.69
Tc (0.0000, 0.5000, 0.5000) x2  2 P 2.22
P (0.0000, 0.0000, 0.5000) x1  4 Tc 2.22

Calculated values
Formation energy (kJ/mol of formula units): -264
Calculated volume (Å³ per atom): 18.30
Uncorrected energy (eV/f.u.): -39.56
Total magnetic moment (μB/cell): 0.0
Fermi-level density of states (states/eV per atom): 0.28